(1)
# ZnB3P, optimized geometry, DFT PBE
data_ZnB3P
_cell_length_a 4.0267
_cell_length_b 4.0267
_cell_length_c 4.0267
_cell_angle_alpha 90.00
_cell_angle_beta 90.00
_cell_angle_gamma 90.00
_space_group_name_H-M_alt 'P 1'
_space_group_IT_number 1
loop_
_space_group_symop_operation_xyz
'x,y,z'
loop_
_atom_site_label
_atom_site_fract_x
_atom_site_fract_y
_atom_site_fract_z
_atom_site_occupancy
Zn1 0.0000 0.0000 0.0000 1
B1 0.0000 0.0000 0.5000 1
B2 0.5000 0.0000 0.0000 1
B3 0.0000 0.5000 0.0000 1
P1 0.5000 0.5000 0.5000 1
# Total energy = -3.261 eV per atom
# Density = 3.28 g/cm³
# Crystal system = cubic



(2)
# Dy2ZrIr3, optimized geometry, DFT PBE
data_Dy2ZrIr3
_cell_length_a 4.7750
_cell_length_b 4.7750
_cell_length_c 5.9202
_cell_angle_alpha 90.00
_cell_angle_beta 90.00
_cell_angle_gamma 120.00
_space_group_name_H-M_alt 'P 1'
_space_group_IT_number 1
loop_
_space_group_symop_operation_xyz
'x,y,z'
loop_
_atom_site_label
_atom_site_fract_x
_atom_site_fract_y
_atom_site_fract_z
_atom_site_occupancy
Ir1 0.3333 0.6667 0.1434 1
Dy1 0.3333 0.6667 0.6627 1
Dy2 0.6667 0.3333 0.3373 1
Zr1 0.0000 0.0000 0.0000 1
Ir2 0.0000 0.0000 0.5000 1
Ir3 0.6667 0.3333 0.8566 1
# Total energy = -8.185 eV per atom
# Density = 14.10 g/cm³
# Crystal system = trigonal



(3)
# InRu3, optimized geometry, DFT PBE
data_InRu3
_cell_length_a 4.8103
_cell_length_b 4.8103
_cell_length_c 4.8536
_cell_angle_alpha 80.12
_cell_angle_beta 80.12
_cell_angle_gamma 34.16
_space_group_name_H-M_alt 'P 1'
_space_group_IT_number 1
loop_
_space_group_symop_operation_xyz
'x,y,z'
loop_
_atom_site_label
_atom_site_fract_x
_atom_site_fract_y
_atom_site_fract_z
_atom_site_occupancy
Ru1 0.2395 0.2395 0.2760 1
In1 0.0000 0.0000 0.0000 1
Ru2 0.7605 0.7605 0.7240 1
Ru3 0.5000 0.5000 0.5000 1
# Total energy = -7.412 eV per atom
# Density = 11.19 g/cm³
# Crystal system = monoclinic



(4)
# Ac2DyPt9, optimized geometry, DFT PBE
data_Ac2DyPt9
_cell_length_a 5.5048
_cell_length_b 5.5048
_cell_length_c 9.6587
_cell_angle_alpha 73.44
_cell_angle_beta 73.44
_cell_angle_gamma 60.00
_space_group_name_H-M_alt 'P 1'
_space_group_IT_number 1
loop_
_space_group_symop_operation_xyz
'x,y,z'
loop_
_atom_site_label
_atom_site_fract_x
_atom_site_fract_y
_atom_site_fract_z
_atom_site_occupancy
Pt1 0.5832 0.0795 0.7541 1
Pt2 0.0795 0.5832 0.7541 1
Pt3 0.3328 0.3328 0.0016 1
Pt4 0.9205 0.4168 0.2459 1
Ac1 0.8619 0.8619 0.4142 1
Pt5 0.6672 0.6672 0.9984 1
Pt6 0.4168 0.4168 0.2459 1
Ac2 0.1381 0.1381 0.5858 1
Dy1 0.0000 0.0000 0.0000 1
Pt7 0.5000 0.5000 0.5000 1
Pt8 0.4168 0.9205 0.2459 1
Pt9 0.5832 0.5832 0.7541 1
# Total energy = -6.466 eV per atom
# Density = 16.46 g/cm³
# Crystal system = trigonal



What is the density in the fourth record? 16.46 g/cm³



What is the total energy in the second record? -8.185 eV per atom



Please write out number 3 again, unchanged.
# InRu3, optimized geometry, DFT PBE
data_InRu3
_cell_length_a 4.8103
_cell_length_b 4.8103
_cell_length_c 4.8536
_cell_angle_alpha 80.12
_cell_angle_beta 80.12
_cell_angle_gamma 34.16
_space_group_name_H-M_alt 'P 1'
_space_group_IT_number 1
loop_
_space_group_symop_operation_xyz
'x,y,z'
loop_
_atom_site_label
_atom_site_fract_x
_atom_site_fract_y
_atom_site_fract_z
_atom_site_occupancy
Ru1 0.2395 0.2395 0.2760 1
In1 0.0000 0.0000 0.0000 1
Ru2 0.7605 0.7605 0.7240 1
Ru3 0.5000 0.5000 0.5000 1
# Total energy = -7.412 eV per atom
# Density = 11.19 g/cm³
# Crystal system = monoclinic